## CeAl2SiPd (GGA-PBE)

Data for an optimized crystal structure of CeAl2SiPd.

Calculated values
M_tot (μB/f.u.): 0.8
Space group: Imm2
VASP energy (eV per atom): -5.50
Uncorrected formation energy (eV/atom): -0.69

Lattice parameters (Å, degrees): 4.1795 4.0559 6.1953 109.11 109.71 90.00
Last column: magnetic moment on the atom in μB.
Positions (direct):
Ce  0.4372  0.4372  0.8744  0.71
Al  0.6927  0.1927  0.3853  0.00
Al  0.0546  0.0546  0.1093  0.00
Si  0.8308  0.8308  0.6615  -0.01
Pd  0.1969  0.6969  0.3938  0.00

## NaCd2Hg8 (GGA-PBE)

Data for an optimized crystal structure of NaCd2Hg8.

Calculated values
M_tot (μB/f.u.): 0.0
Space group: C2/m
VASP energy (eV per atom): -0.55
ΔH_f (0 K) (eV per atom): -0.04

Lattice parameters (Å, degrees): 4.9429 9.3956 7.9843 53.96 85.79 82.84
Positions (direct):
Na  0.5000  0.0000  0.0000
Cd  0.0000  0.3767  0.2466
Cd  0.0000  0.6233  0.7534
Hg  0.9616  0.0378  0.2701
Hg  0.9616  0.3080  0.7299
Hg  0.4694  0.3294  0.0000
Hg  0.5000  0.7553  0.4894
Hg  0.5000  0.2447  0.5106
Hg  0.5306  0.6706  0.0000
Hg  0.0384  0.6920  0.2701
Hg  0.0384  0.9622  0.7299